Material: Mn2Cd2F7
Method: DFT, PBE+U
State: relaxed

Cell: 7.700 7.700 7.700 Å, 60.00 60.00 60.00°
Positions (direct):
F: 0.211 0.789 0.211
F: 0.211 0.211 0.789
F: 0.461 0.039 0.039
F: 0.750 0.750 0.750
F: 0.789 0.789 0.211
F: 0.039 0.461 0.039
F: 0.211 0.789 0.789
F: 0.789 0.211 0.789
F: 0.039 0.461 0.461
F: 0.039 0.039 0.461
F: 0.461 0.039 0.461
F: 0.789 0.211 0.211
F: 0.461 0.461 0.039
F: 0.500 0.500 0.500
Cd: 0.625 0.625 0.625
Cd: 0.625 0.125 0.625
Cd: 0.625 0.625 0.125
Cd: 0.125 0.625 0.625
Mn: 0.125 0.125 0.125
Mn: 0.125 0.625 0.125
Mn: 0.125 0.125 0.625
Mn: 0.625 0.125 0.125

The raw total energy comes out at -109.88 eV for the cell shown. Its crystal system is cubic. As for the space group: No. 227.